No. 1
A plane-wave DFT calculation with PBE-GGA was carried out for a relaxed ZnCu2H crystal.

Cell lengths 2.538, 2.538, 6.475 Å; angles 90.00, 90.00, 90.00 degrees
Fractional positions:
Zn1 0.000 0.000 0.000
Cu1 0.500 0.500 0.302
Cu2 0.500 0.500 0.698
H1 0.000 0.000 0.500

Output
Its volume is 41.69 Å³/cell. Its electronic total energy is -2.945 eV/atom. The value obtained for the theoretical density is 7.71 g/cm³. The total moment is 0.00 Bohr magnetons per cell.



No. 2
A plane-wave DFT calculation with PBE-GGA was carried out for a relaxed LiPaCu4 crystal.

Cell lengths 5.042, 5.042, 5.042 Å; angles 60.00, 60.00, 60.00 degrees
Fractional positions:
Li1 0.000 0.000 0.000
Pa1 0.250 0.250 0.250
Cu1 0.119 0.627 0.627
Cu2 0.627 0.119 0.627
Cu3 0.627 0.627 0.119
Cu4 0.627 0.627 0.627

Output
Its volume is 90.65 Å³/cell. Its electronic total energy is -4.654 eV/atom. Its formation energy is -0.022 eV per atom. The value obtained for the theoretical density is 9.02 g/cm³. The total moment is 0.00 Bohr magnetons per cell.



No. 3
A plane-wave DFT calculation with PBE-GGA was carried out for a relaxed LiTb5Ru4 crystal.

Cell lengths 3.423, 3.423, 18.245 Å; angles 90.00, 90.00, 90.00 degrees
Fractional positions:
Li1 0.000 0.000 0.000
Tb1 0.500 0.500 0.129
Tb2 0.500 0.500 0.314
Tb3 0.500 0.500 0.500
Tb4 0.500 0.500 0.686
Tb5 0.500 0.500 0.871
Ru1 0.000 0.000 0.214
Ru2 0.000 0.000 0.406
Ru3 0.000 0.000 0.594
Ru4 0.000 0.000 0.786

Output
Its volume is 213.76 Å³/cell. Its electronic total energy is -6.500 eV/atom. Its formation energy is -0.283 eV per atom. The value obtained for the theoretical density is 9.37 g/cm³. The total moment is 0.00 Bohr magnetons per cell.



No. 4
A plane-wave DFT calculation with PBE-GGA was carried out for a relaxed TbNd5Cu6 crystal.

Cell lengths 8.761, 8.761, 5.079 Å; angles 106.72, 106.72, 47.81 degrees
Fractional positions:
Tb1 0.000 0.000 0.000
Nd1 0.167 0.167 0.667
Nd2 0.334 0.334 0.334
Nd3 0.500 0.500 0.000
Nd4 0.666 0.666 0.666
Nd5 0.833 0.833 0.333
Cu1 0.080 0.594 0.838
Cu2 0.236 0.764 0.500
Cu3 0.406 0.920 0.162
Cu4 0.594 0.080 0.838
Cu5 0.764 0.236 0.500
Cu6 0.920 0.406 0.162

Output
Its volume is 274.16 Å³/cell. Its electronic total energy is -4.576 eV/atom. Its formation energy is -0.155 eV per atom. The value obtained for the theoretical density is 7.64 g/cm³. The total moment is 0.00 Bohr magnetons per cell.



No. 5
A plane-wave DFT calculation with PBE-GGA was carried out for a relaxed Sc2PtW crystal.

Cell lengths 2.893, 4.498, 5.617 Å; angles 90.00, 90.00, 90.00 degrees
Fractional positions:
Sc1 0.000 0.000 0.000
Sc2 0.500 0.500 0.314
Pt1 0.500 0.500 0.808
W1 0.000 0.000 0.506

Output
Its volume is 73.09 Å³/cell. Its electronic total energy is -8.058 eV/atom. Its formation energy is -0.144 eV per atom. The value obtained for the theoretical density is 10.65 g/cm³. The total moment is 0.00 Bohr magnetons per cell.



No. 6
A plane-wave DFT calculation with PBE-GGA was carried out for a relaxed Ac3PtPb crystal.

Cell lengths 9.095, 4.929, 16.129 Å; angles 90.00, 90.00, 90.00 degrees
Fractional positions:
Ac1 0.025 0.250 0.107
Ac2 0.152 0.250 0.510
Ac3 0.183 0.750 0.284
Ac4 0.317 0.250 0.784
Ac5 0.348 0.750 0.010
Ac6 0.475 0.750 0.607
Ac7 0.525 0.250 0.393
Ac8 0.652 0.250 0.990
Ac9 0.683 0.750 0.216
Ac10 0.817 0.250 0.716
Ac11 0.848 0.750 0.490
Ac12 0.975 0.750 0.893
Pt1 0.171 0.250 0.942
Pt2 0.329 0.750 0.442
Pt3 0.671 0.250 0.558
Pt4 0.829 0.750 0.058
Pb1 0.093 0.750 0.676
Pb2 0.407 0.250 0.176
Pb3 0.593 0.750 0.824
Pb4 0.907 0.250 0.324

Output
Its volume is 723.12 Å³/cell. Its electronic total energy is -5.144 eV/atom. Its formation energy is -0.729 eV per atom. The value obtained for the theoretical density is 9.95 g/cm³. The total moment is 0.00 Bohr magnetons per cell.